(1)
This record from Alexandria via LeMat-Bulk describes an optimized crystal structure of CsTaC2. The functional is PBE-GGA.

Cell: 6.6378 6.6378 6.6378 Å, 120.11 120.11 89.81°
Closest atoms and distances in Å follow each position.
Positions (direct):
Cs: 0.3750 0.6250 0.7500  12 C 3.89-3.90, 4 Ta 4.06, 4 Cs 4.06
Cs: 0.6250 0.3750 0.2500  12 C 3.89-3.90, 4 Ta 4.06, 4 Cs 4.06
Ta: 0.1250 0.8750 0.2500  4 C 2.03
Ta: 0.8750 0.1250 0.7500  4 C 2.03
C: 0.0000 0.0000 0.0000  2 Ta 2.03
C: 0.0000 0.0000 0.5000  2 Ta 2.03
C: 0.0000 0.5000 0.0000  2 Ta 2.03
C: 0.5000 0.0000 0.5000  2 Ta 2.03

## Properties
E above lowest polymorph, eV/f.u.: 0.00
Formation energy, kJ/mol of formula units: 278.4



(2)
This record from Alexandria via LeMat-Bulk describes an optimized crystal structure of CsTaC3. The functional is PBE-GGA.

Cell: 4.3973 4.3973 4.3973 Å, 90.00 90.00 90.00°
Closest atoms and distances in Å follow each position.
Positions (direct):
Cs: 0.0000 0.0000 0.0000  12 C 3.11
Ta: 0.5000 0.5000 0.5000  6 C 2.20
C: 0.0000 0.5000 0.5000  2 Ta 2.20
C: 0.5000 0.0000 0.5000  2 Ta 2.20
C: 0.5000 0.5000 0.0000  2 Ta 2.20

## Properties
E above lowest polymorph, eV/f.u.: 0.00
Formation energy, kJ/mol of formula units: 787.7



(3)
This record from Alexandria via LeMat-Bulk describes an optimized crystal structure of Cs3TaC. The functional is PBE-GGA.

Cell: 7.1149 7.1149 7.1149 Å, 90.00 90.00 90.00°
Closest atoms and distances in Å follow each position.
Positions (direct):
Cs: 0.0000 0.0000 0.5000  2 Ta 3.56
Cs: 0.0000 0.5000 0.0000  2 Ta 3.56
Cs: 0.5000 0.0000 0.0000  2 Ta 3.56
Ta: 0.0000 0.0000 0.0000  6 Cs 3.56
C: 0.5000 0.5000 0.5000  12 Cs 5.03

## Properties
Formation energy, kJ/mol of formula units: 1118.9



- Among the records above, which one has the lowest formation energy?
  CsTaC2



- What is the formation energy in the first record?
  278.4 kJ/mol of formula units